# KLi2As

KLi2As after structural relaxation (GGA-PBE, the Alexandria database).

Cell: 3.6007 3.6007 7.9361 Å, 90.00 90.00 90.00°
Fractional positions:
Li 0.0000 0.0000 0.0991
As 0.5000 0.5000 0.2500
K 0.5000 0.5000 0.7500
Li 0.0000 0.0000 0.4009

Values from the calculation:
Space-group type = P4/mmm (123)
Size of the total moment = 0.0 μB per formula unit


# Ac3ZrCl2O6

Ac3ZrCl2O6 after structural relaxation (GGA-PBE, the Alexandria database).

Cell: 5.7875 7.2819 7.2754 Å, 120.03 82.93 90.00°
Site moments in Bohr magnetons follow the coordinates.
Fractional positions:
O 0.6961 0.2965 0.1099  0.21
O 0.3039 0.7035 0.8901  0.21
Zr 0.5000 0.0000 0.0000  -0.04
Ac 0.0000 0.5000 0.0000  -0.01
Ac 0.5000 0.5000 0.5000  0.00
Cl 0.8833 0.2833 0.5666  0.00
Cl 0.1167 0.7167 0.4334  0.00
O 0.6961 0.8134 0.1099  0.21
O 0.6476 0.8392 0.6784  0.01
O 0.3039 0.1866 0.8901  0.21
Ac 0.5000 0.0000 0.5000  0.00
O 0.3524 0.1608 0.3216  0.01

Values from the calculation:
Space-group type = C2/m (12)
ΔE_f (raw) = -2.67 eV/atom
Size of the total moment = 1.0 μB per formula unit


# YPdN2O

YPdN2O after structural relaxation (GGA-PBE, the Alexandria database).

Cell: 4.4863 4.4863 4.2423 Å, 90.00 90.00 90.00°
Site moments in Bohr magnetons follow the coordinates.
Fractional positions:
N 0.0000 0.5000 0.0000  -0.03
N 0.5000 0.0000 0.0000  -0.03
Pd 0.5000 0.5000 0.5000  0.01
Y 0.0000 0.0000 0.0000  0.01
O 0.0000 0.0000 0.5000  0.13

Values from the calculation:
Space-group type = P4/mmm (123)
ΔE_f (raw) = 0.91 eV/atom
Size of the total moment = 0.1 μB per formula unit


no.,energy (eV per atom),volume (Å³/atom),N(E_F) (states/eV per atom)
1,-2.571,25.7,0.452
2,-7.193,21.9,0.464
3,-5.743,17.1,1.735